# TlIn2WF8

A relaxed TlIn2WF8 crystal (PBE with a Hubbard U, Alexandria via LeMat-Bulk).

Output
**DOS(E_F)**: 3.198 states/eV/cell
**Density**: 5.63 Mg/m³
**Calculated volume**: 18.9 Å³/atom
**Magnetization**: 2.016 μB/f.u.
**Uncorrected energy**: -4.732 eV per atom

a b c (Å): 5.3291 6.0219 7.1080
angles (deg): 94.16 92.41 92.32
Atoms (fractional coordinates):
Tl  0.0000  0.0000  0.0000
In  0.4869  0.5017  0.7348
In  0.5131  0.4983  0.2652
W  0.0000  0.0000  0.5000
F  0.1302  0.7494  0.6403
F  0.1597  0.2383  0.7028
F  0.3033  0.0140  0.3476
F  0.3665  0.6699  0.0045
F  0.6335  0.3301  0.9955
F  0.6967  0.9860  0.6524
F  0.8403  0.7617  0.2972
F  0.8698  0.2506  0.3597